w.
# Zn5IrRh PBE optimized geometry
data_Zn5IrRh
_cell_length_a 4.233
_cell_length_b 4.233
_cell_length_c 6.009
_cell_angle_alpha 90.00
_cell_angle_beta 90.00
_cell_angle_gamma 90.00
_symmetry_space_group_name_H-M 'P 4/m m m'
_symmetry_Int_Tables_number 123
_symmetry_space_group_name_Hall '-P 4 2'
loop_
_atom_site_label
_atom_site_type_symbol
_atom_site_fract_x
_atom_site_fract_y
_atom_site_fract_z
Zn1 Zn 0.000 0.000 0.000
Zn2 Zn 0.000 0.500 0.268
Ir1 Ir 0.500 0.500 0.000
Rh1 Rh 0.000 0.000 0.500
# DOS(E_F) in states/eV per cell: 2.94

x.
# Zn5IrRh PBE optimized geometry
data_Zn5IrRh
_cell_length_a 10.736
_cell_length_b 7.546
_cell_length_c 8.797
_cell_angle_alpha 90.00
_cell_angle_beta 122.85
_cell_angle_gamma 90.00
_symmetry_space_group_name_H-M 'C 1 2/c 1'
_symmetry_Int_Tables_number 15
loop_
_symmetry_equiv_pos_as_xyz
'x,y,z'
'-x,-y,-z'
'-x,y,-z+1/2'
'x,-y,z+1/2'
'x+1/2,y+1/2,z'
'-x+1/2,-y+1/2,-z'
'-x+1/2,y+1/2,-z+1/2'
'x+1/2,-y+1/2,z+1/2'
loop_
_atom_site_label
_atom_site_type_symbol
_atom_site_fract_x
_atom_site_fract_y
_atom_site_fract_z
Zn1 Zn 0.000 0.122 0.250
Zn2 Zn 0.016 0.327 0.972
Zn3 Zn 0.244 0.418 0.894
Ir1 Ir 0.000 0.000 0.000
Rh1 Rh 0.000 0.450 0.250
# DOS(E_F) in states/eV per cell: 6.79

w is the most stable structure; the next one sits 329 meV/atom above it.

w.
# ZrIrRh PBE optimized geometry
data_ZrIrRh
_cell_length_a 4.4919
_cell_length_b 4.4919
_cell_length_c 2.8733
_cell_angle_alpha 90.00
_cell_angle_beta 90.00
_cell_angle_gamma 120.00
_symmetry_space_group_name_H-M 'P 3 m 1'
_symmetry_Int_Tables_number 156
loop_
_symmetry_equiv_pos_as_xyz
'x,y,z'
'-y,x-y,z'
'-x+y,-x,z'
'-y,-x,z'
'-x+y,y,z'
'x,x-y,z'
loop_
_atom_site_label
_atom_site_type_symbol
_atom_site_fract_x
_atom_site_fract_y
_atom_site_fract_z
Zr1 Zr 0.0000 0.0000 0.0000
Ir1 Ir 0.6667 0.3333 0.3954
Rh1 Rh 0.3333 0.6667 0.8739
# DOS(E_F) in states/eV per cell: 2.52

x.
# ZrIrRh PBE optimized geometry
data_ZrIrRh
_cell_length_a 6.166
_cell_length_b 6.166
_cell_length_c 6.166
_cell_angle_alpha 90.00
_cell_angle_beta 90.00
_cell_angle_gamma 90.00
_symmetry_space_group_name_H-M 'F -4 3 m'
_symmetry_Int_Tables_number 216
_symmetry_space_group_name_Hall 'F -4 2 3'
loop_
_atom_site_label
_atom_site_type_symbol
_atom_site_fract_x
_atom_site_fract_y
_atom_site_fract_z
Zr1 Zr 0.000 0.000 0.000
Ir1 Ir 0.250 0.250 0.250
Rh1 Rh 0.250 0.250 0.750
# DOS(E_F) in states/eV per cell: 8.77

w is the most stable structure; the next one sits 233 meV/atom above it.

w.
# ZrIrRh PBE optimized geometry
data_ZrIrRh
_cell_length_a 8.873
_cell_length_b 4.550
_cell_length_c 5.196
_cell_angle_alpha 90.00
_cell_angle_beta 99.79
_cell_angle_gamma 90.00
_symmetry_space_group_name_H-M 'C 1 2/m 1'
_symmetry_Int_Tables_number 12
loop_
_symmetry_equiv_pos_as_xyz
'x,y,z'
'-x,-y,-z'
'-x,y,-z'
'x,-y,z'
'x+1/2,y+1/2,z'
'-x+1/2,-y+1/2,-z'
'-x+1/2,y+1/2,-z'
'x+1/2,-y+1/2,z'
loop_
_atom_site_label
_atom_site_type_symbol
_atom_site_fract_x
_atom_site_fract_y
_atom_site_fract_z
Zr1 Zr 0.132 0.000 0.314
Ir1 Ir 0.040 0.500 0.763
Rh1 Rh 0.221 0.000 0.838
# DOS(E_F) in states/eV per cell: 16.50

x.
# ZrIrRh PBE optimized geometry
data_ZrIrRh
_cell_length_a 4.5268
_cell_length_b 4.5268
_cell_length_c 5.5827
_cell_angle_alpha 90.00
_cell_angle_beta 90.00
_cell_angle_gamma 120.00
_symmetry_space_group_name_H-M 'P 63/m m c'
_symmetry_Int_Tables_number 194
_symmetry_space_group_name_Hall '-P 6c 2c'
loop_
_atom_site_label
_atom_site_type_symbol
_atom_site_fract_x
_atom_site_fract_y
_atom_site_fract_z
Zr1 Zr 0.3333 0.6667 0.2500
Ir1 Ir 0.0000 0.0000 0.0000
Rh1 Rh 0.3333 0.6667 0.7500
# DOS(E_F) in states/eV per cell: 3.29

x is the most stable structure; the next one sits 257 meV/atom above it.

w.
# ZrIrRh PBE optimized geometry
data_ZrIrRh
_cell_length_a 6.159
_cell_length_b 6.159
_cell_length_c 6.159
_cell_angle_alpha 90.00
_cell_angle_beta 90.00
_cell_angle_gamma 90.00
_symmetry_space_group_name_H-M 'F -4 3 m'
_symmetry_Int_Tables_number 216
_symmetry_space_group_name_Hall 'F -4 2 3'
loop_
_atom_site_label
_atom_site_type_symbol
_atom_site_fract_x
_atom_site_fract_y
_atom_site_fract_z
Zr1 Zr 0.000 0.000 0.000
Ir1 Ir 0.000 0.000 0.500
Rh1 Rh 0.250 0.250 0.750
# DOS(E_F) in states/eV per cell: 21.69

x.
# ZrIrRh PBE optimized geometry
data_ZrIrRh
_cell_length_a 2.899
_cell_length_b 3.915
_cell_length_c 8.819
_cell_angle_alpha 90.00
_cell_angle_beta 90.00
_cell_angle_gamma 90.00
_symmetry_space_group_name_H-M 'I m m 2'
_symmetry_Int_Tables_number 44
loop_
_symmetry_equiv_pos_as_xyz
'x,y,z'
'-x,-y,z'
'-x,y,z'
'x,-y,z'
'x+1/2,y+1/2,z+1/2'
'-x+1/2,-y+1/2,z+1/2'
'-x+1/2,y+1/2,z+1/2'
'x+1/2,-y+1/2,z+1/2'
loop_
_atom_site_label
_atom_site_type_symbol
_atom_site_fract_x
_atom_site_fract_y
_atom_site_fract_z
Zr1 Zr 0.000 0.000 0.000
Ir1 Ir 0.000 0.000 0.672
Rh1 Rh 0.000 0.000 0.322
# DOS(E_F) in states/eV per cell: 8.49

x is the most stable structure; the next one sits 366 meV/atom above it.

w.
# IrRu4 PBE optimized geometry
data_IrRu4
_cell_length_a 4.769
_cell_length_b 4.767
_cell_length_c 6.872
_cell_angle_alpha 90.00
_cell_angle_beta 111.67
_cell_angle_gamma 90.00
_symmetry_space_group_name_H-M 'P 1 21/c 1'
_symmetry_Int_Tables_number 14
loop_
_symmetry_equiv_pos_as_xyz
'x,y,z'
'-x,-y,-z'
'-x,y+1/2,-z+1/2'
'x,-y+1/2,z+1/2'
loop_
_atom_site_label
_atom_site_type_symbol
_atom_site_fract_x
_atom_site_fract_y
_atom_site_fract_z
Ir1 Ir 0.000 0.000 0.000
Ru1 Ru 0.220 0.061 0.413
Ru2 Ru 0.406 0.586 0.308
# DOS(E_F) in states/eV per cell: 13.17

x.
# IrRu4 PBE optimized geometry
data_IrRu4
_cell_length_a 6.057
_cell_length_b 6.057
_cell_length_c 3.827
_cell_angle_alpha 90.00
_cell_angle_beta 90.00
_cell_angle_gamma 90.00
_symmetry_space_group_name_H-M 'I 4/m'
_symmetry_Int_Tables_number 87
_symmetry_space_group_name_Hall '-I 4'
loop_
_atom_site_label
_atom_site_type_symbol
_atom_site_fract_x
_atom_site_fract_y
_atom_site_fract_z
Ir1 Ir 0.000 0.000 0.000
Ru1 Ru 0.099 0.302 0.500
# DOS(E_F) in states/eV per cell: 11.50

y.
# IrRu4 PBE optimized geometry
data_IrRu4
_cell_length_a 4.647
_cell_length_b 4.647
_cell_length_c 4.647
_cell_angle_alpha 90.00
_cell_angle_beta 90.00
_cell_angle_gamma 90.00
_symmetry_space_group_name_H-M 'P m -3 m'
_symmetry_Int_Tables_number 221
_symmetry_space_group_name_Hall '-P 4 2 3'
loop_
_atom_site_label
_atom_site_type_symbol
_atom_site_fract_x
_atom_site_fract_y
_atom_site_fract_z
Ir1 Ir 0.000 0.000 0.000
Ru1 Ru 0.000 0.000 0.500
Ru2 Ru 0.500 0.500 0.500
# DOS(E_F) in states/eV per cell: 7.07

z.
# IrRu4 PBE optimized geometry
data_IrRu4
_cell_length_a 3.548
_cell_length_b 3.548
_cell_length_c 12.321
_cell_angle_alpha 90.00
_cell_angle_beta 90.00
_cell_angle_gamma 90.00
_symmetry_space_group_name_H-M 'I 4/m m m'
_symmetry_Int_Tables_number 139
_symmetry_space_group_name_Hall '-I 4 2'
loop_
_atom_site_label
_atom_site_type_symbol
_atom_site_fract_x
_atom_site_fract_y
_atom_site_fract_z
Ir1 Ir 0.000 0.000 0.000
Ru1 Ru 0.000 0.000 0.402
Ru2 Ru 0.000 0.500 0.250
# DOS(E_F) in states/eV per cell: 14.30

x is the most stable structure; the next one sits 254 meV/atom above it.

w.
# Ir2Ru3 PBE optimized geometry
data_Ir2Ru3
_cell_length_a 9.114
_cell_length_b 13.380
_cell_length_c 4.721
_cell_angle_alpha 90.00
_cell_angle_beta 90.00
_cell_angle_gamma 90.00
_symmetry_space_group_name_H-M 'F d d 2'
_symmetry_Int_Tables_number 43
_symmetry_space_group_name_Hall 'F 2 -2d'
loop_
_atom_site_label
_atom_site_type_symbol
_atom_site_fract_x
_atom_site_fract_y
_atom_site_fract_z
Ir1 Ir 0.023 0.297 0.000
Ru1 Ru 0.000 0.000 0.457
Ru2 Ru 0.034 0.402 0.475
# DOS(E_F) in states/eV per cell: 36.76

x.
# Ir2Ru3 PBE optimized geometry
data_Ir2Ru3
_cell_length_a 8.729
_cell_length_b 4.191
_cell_length_c 8.340
_cell_angle_alpha 90.00
_cell_angle_beta 90.00
_cell_angle_gamma 90.00
_symmetry_space_group_name_H-M 'P n m a'
_symmetry_Int_Tables_number 62
loop_
_symmetry_equiv_pos_as_xyz
'x,y,z'
'-x,-y,-z'
'-x+1/2,-y,z+1/2'
'x+1/2,y,-z+1/2'
'x+1/2,-y+1/2,-z+1/2'
'-x+1/2,y+1/2,z+1/2'
'-x,y+1/2,-z'
'x,-y+1/2,z'
loop_
_atom_site_label
_atom_site_type_symbol
_atom_site_fract_x
_atom_site_fract_y
_atom_site_fract_z
Ir1 Ir 0.015 0.250 0.124
Ir2 Ir 0.187 0.250 0.434
Ru1 Ru 0.030 0.750 0.346
Ru2 Ru 0.173 0.250 0.851
Ru3 Ru 0.175 0.750 0.636
# DOS(E_F) in states/eV per cell: 17.11

w is the most stable structure; the next one sits 217 meV/atom above it.

w.
# Ir2Ru3 PBE optimized geometry
data_Ir2Ru3
_cell_length_a 4.2187
_cell_length_b 4.2187
_cell_length_c 5.2406
_cell_angle_alpha 90.00
_cell_angle_beta 90.00
_cell_angle_gamma 120.00
_symmetry_space_group_name_H-M 'P -3 m 1'
_symmetry_Int_Tables_number 164
_symmetry_space_group_name_Hall '-P 3 2"'
loop_
_atom_site_label
_atom_site_type_symbol
_atom_site_fract_x
_atom_site_fract_y
_atom_site_fract_z
Ir1 Ir 0.3333 0.6667 0.3678
Ru1 Ru 0.0000 0.0000 0.5000
Ru2 Ru 0.3333 0.6667 0.8765
# DOS(E_F) in states/eV per cell: 6.14

x.
# Ir2Ru3 PBE optimized geometry
data_Ir2Ru3
_cell_length_a 3.6379
_cell_length_b 3.6379
_cell_length_c 21.7067
_cell_angle_alpha 90.00
_cell_angle_beta 90.00
_cell_angle_gamma 120.00
_symmetry_space_group_name_H-M 'R -3 m'
_symmetry_Int_Tables_number 166
_symmetry_space_group_name_Hall '-R 3 2"'
loop_
_atom_site_label
_atom_site_type_symbol
_atom_site_fract_x
_atom_site_fract_y
_atom_site_fract_z
Ir1 Ir 0.0000 0.0000 0.1031
Ru1 Ru 0.0000 0.0000 0.3061
Ru2 Ru 0.0000 0.0000 0.5000
# DOS(E_F) in states/eV per cell: 22.82

w is the most stable structure; the next one sits 419 meV/atom above it.

w.
# Ir7Ru5 PBE optimized geometry
data_Ir7Ru5
_cell_length_a 11.559
_cell_length_b 3.848
_cell_length_c 8.606
_cell_angle_alpha 90.00
_cell_angle_beta 116.66
_cell_angle_gamma 90.00
_symmetry_space_group_name_H-M 'C 1 m 1'
_symmetry_Int_Tables_number 8
loop_
_symmetry_equiv_pos_as_xyz
'x,y,z'
'x,-y,z'
'x+1/2,y+1/2,z'
'x+1/2,-y+1/2,z'
loop_
_atom_site_label
_atom_site_type_symbol
_atom_site_fract_x
_atom_site_fract_y
_atom_site_fract_z
Ir1 Ir 0.000 0.000 0.000
Ir2 Ir 0.000 0.500 0.496
Ir3 Ir 0.085 0.000 0.746
Ir4 Ir 0.167 0.500 0.997
Ir5 Ir 0.250 0.000 0.249
Ir6 Ir 0.334 0.000 0.998
Ir7 Ir 0.414 0.000 0.745
Ru1 Ru 0.083 0.500 0.248
Ru2 Ru 0.167 0.000 0.497
Ru3 Ru 0.249 0.500 0.744
Ru4 Ru 0.332 0.500 0.497
Ru5 Ru 0.418 0.500 0.248
# DOS(E_F) in states/eV per cell: 22.15

x.
# Ir7Ru5 PBE optimized geometry
data_Ir7Ru5
_cell_length_a 12.946
_cell_length_b 2.719
_cell_length_c 10.110
_cell_angle_alpha 90.00
_cell_angle_beta 101.05
_cell_angle_gamma 90.00
_symmetry_space_group_name_H-M 'C 1 2/m 1'
_symmetry_Int_Tables_number 12
loop_
_symmetry_equiv_pos_as_xyz
'x,y,z'
'-x,-y,-z'
'-x,y,-z'
'x,-y,z'
'x+1/2,y+1/2,z'
'-x+1/2,-y+1/2,-z'
'-x+1/2,y+1/2,-z'
'x+1/2,-y+1/2,z'
loop_
_atom_site_label
_atom_site_type_symbol
_atom_site_fract_x
_atom_site_fract_y
_atom_site_fract_z
Ir1 Ir 0.000 0.000 0.000
Ir2 Ir 0.001 0.500 0.754
Ir3 Ir 0.168 0.000 0.403
Ir4 Ir 0.180 0.500 0.909
Ru1 Ru 0.000 0.500 0.500
Ru2 Ru 0.155 0.000 0.664
Ru3 Ru 0.167 0.500 0.164
# DOS(E_F) in states/eV per cell: 26.40

w is the most stable structure; the next one sits 187 meV/atom above it.

w.
# Ir3Ru4 PBE optimized geometry
data_Ir3Ru4
_cell_length_a 12.779
_cell_length_b 2.716
_cell_length_c 6.525
_cell_angle_alpha 90.00
_cell_angle_beta 115.04
_cell_angle_gamma 90.00
_symmetry_space_group_name_H-M 'C 1 2/m 1'
_symmetry_Int_Tables_number 12
loop_
_symmetry_equiv_pos_as_xyz
'x,y,z'
'-x,-y,-z'
'-x,y,-z'
'x,-y,z'
'x+1/2,y+1/2,z'
'-x+1/2,-y+1/2,-z'
'-x+1/2,y+1/2,-z'
'x+1/2,-y+1/2,z'
loop_
_atom_site_label
_atom_site_type_symbol
_atom_site_fract_x
_atom_site_fract_y
_atom_site_fract_z
Ir1 Ir 0.000 0.000 0.000
Ir2 Ir 0.227 0.000 0.154
Ru1 Ru 0.081 0.000 0.695
Ru2 Ru 0.126 0.500 0.390
# DOS(E_F) in states/eV per cell: 16.14

x.
# Ir3Ru4 PBE optimized geometry
data_Ir3Ru4
_cell_length_a 5.0576
_cell_length_b 5.0576
_cell_length_c 4.7458
_cell_angle_alpha 90.00
_cell_angle_beta 90.00
_cell_angle_gamma 120.00
_symmetry_space_group_name_H-M 'P 6/m m m'
_symmetry_Int_Tables_number 191
_symmetry_space_group_name_Hall '-P 6 2'
loop_
_atom_site_label
_atom_site_type_symbol
_atom_site_fract_x
_atom_site_fract_y
_atom_site_fract_z
Ir1 Ir 0.0000 0.5000 0.0000
Ru1 Ru 0.0000 0.0000 0.2594
Ru2 Ru 0.3333 0.6667 0.5000
# DOS(E_F) in states/eV per cell: 8.51

w is the most stable structure; the next one sits 247 meV/atom above it.

w.
# Ir4Ru5 PBE optimized geometry
data_Ir4Ru5
_cell_length_a 7.5029
_cell_length_b 7.5029
_cell_length_c 5.3778
_cell_angle_alpha 90.00
_cell_angle_beta 90.00
_cell_angle_gamma 120.00
_symmetry_space_group_name_H-M 'P 63/m c m'
_symmetry_Int_Tables_number 193
_symmetry_space_group_name_Hall '-P 6c 2'
loop_
_atom_site_label
_atom_site_type_symbol
_atom_site_fract_x
_atom_site_fract_y
_atom_site_fract_z
Ir1 Ir 0.0000 0.0000 0.0000
Ir2 Ir 0.0000 0.3349 0.2500
Ru1 Ru 0.0000 0.3343 0.7500
Ru2 Ru 0.3333 0.6667 0.0000
# DOS(E_F) in states/eV per cell: 26.52

x.
# Ir4Ru5 PBE optimized geometry
data_Ir4Ru5
_cell_length_a 8.158
_cell_length_b 8.158
_cell_length_c 3.835
_cell_angle_alpha 90.00
_cell_angle_beta 90.00
_cell_angle_gamma 90.00
_symmetry_space_group_name_H-M 'I 4/m m m'
_symmetry_Int_Tables_number 139
_symmetry_space_group_name_Hall '-I 4 2'
loop_
_atom_site_label
_atom_site_type_symbol
_atom_site_fract_x
_atom_site_fract_y
_atom_site_fract_z
Ir1 Ir 0.000 0.330 0.000
Ru1 Ru 0.000 0.000 0.000
Ru2 Ru 0.166 0.166 0.500
# DOS(E_F) in states/eV per cell: 19.65

x is the most stable structure; the next one sits 255 meV/atom above it.

w.
# SbTe2IrRu PBE optimized geometry
data_SbTe2IrRu
_cell_length_a 5.077
_cell_length_b 5.077
_cell_length_c 4.952
_cell_angle_alpha 90.00
_cell_angle_beta 90.00
_cell_angle_gamma 90.00
_symmetry_space_group_name_H-M 'P 4/m m m'
_symmetry_Int_Tables_number 123
_symmetry_space_group_name_Hall '-P 4 2'
loop_
_atom_site_label
_atom_site_type_symbol
_atom_site_fract_x
_atom_site_fract_y
_atom_site_fract_z
Sb1 Sb 0.000 0.000 0.000
Te1 Te 0.000 0.500 0.500
Ir1 Ir 0.500 0.500 0.000
Ru1 Ru 0.000 0.000 0.500
# DOS(E_F) in states/eV per cell: 4.49

x.
# SbTe2IrRu PBE optimized geometry
data_SbTe2IrRu
_cell_length_a 5.207
_cell_length_b 5.207
_cell_length_c 4.979
_cell_angle_alpha 90.00
_cell_angle_beta 90.00
_cell_angle_gamma 90.00
_symmetry_space_group_name_H-M 'P 4/m m m'
_symmetry_Int_Tables_number 123
_symmetry_space_group_name_Hall '-P 4 2'
loop_
_atom_site_label
_atom_site_type_symbol
_atom_site_fract_x
_atom_site_fract_y
_atom_site_fract_z
Sb1 Sb 0.000 0.000 0.000
Te1 Te 0.000 0.500 0.500
Ir1 Ir 0.000 0.000 0.500
Ru1 Ru 0.500 0.500 0.000
# DOS(E_F) in states/eV per cell: 6.50

w is the most stable structure; the next one sits 84 meV/atom above it.